[1]
The following is a GGA-PBE calculation of a relaxed Pm4RuSe2Br crystal, from the Alexandria database.

CIF file:
```
data_Pm4RuSe2Br
_space_group_name_H-M_alt 'P 1 2/m 1'
_space_group_IT_number 10
_cell_length_a 7.397
_cell_length_b 4.077
_cell_length_c 7.465
_cell_angle_alpha 90.00
_cell_angle_beta 107.02
_cell_angle_gamma 90.00
loop_
_space_group_symop_operation_xyz
'x,y,z'
'-x,-y,-z'
'-x,y,-z'
'x,-y,z'
loop_
_atom_site_label
_atom_site_fract_x
_atom_site_fract_y
_atom_site_fract_z
Pm1 0.234 0.000 0.223
Pm2 0.248 0.500 0.782
Ru1 0.000 0.500 0.000
Se1 0.500 0.000 0.000
Se2 0.500 0.500 0.500
Br1 0.000 0.000 0.500
```

Results
The total energy comes out at -5.84 eV per atom. The calculation puts the density of states at the Fermi level at 6.9 states/eV/cell. For the volume, the calculation gives 215 Å³/f.u.

[2]
The following is a GGA-PBE calculation of a relaxed Pm4RuSeBr2 crystal, from the Alexandria database.

CIF file:
```
data_Pm4RuSeBr2
_space_group_name_H-M_alt 'P 1 2/m 1'
_space_group_IT_number 10
_cell_length_a 7.586
_cell_length_b 4.070
_cell_length_c 7.789
_cell_angle_alpha 90.00
_cell_angle_beta 106.45
_cell_angle_gamma 90.00
loop_
_space_group_symop_operation_xyz
'x,y,z'
'-x,-y,-z'
'-x,y,-z'
'x,-y,z'
loop_
_atom_site_label
_atom_site_fract_x
_atom_site_fract_y
_atom_site_fract_z
Pm1 0.211 0.000 0.199
Pm2 0.244 0.500 0.798
Ru1 0.000 0.500 0.000
Se1 0.500 0.000 0.000
Br1 0.000 0.000 0.500
Br2 0.500 0.500 0.500
```

Results
The total energy comes out at -5.53 eV per atom. The calculation puts the density of states at the Fermi level at 5.8 states/eV/cell. For the volume, the calculation gives 231 Å³/f.u.

[3]
The following is a GGA-PBE calculation of a relaxed PmSmRuBr crystal, from the Alexandria database.

CIF file:
```
data_PmSmRuBr
_space_group_name_H-M_alt 'C 1 m 1'
_space_group_IT_number 8
_cell_length_a 6.983
_cell_length_b 4.039
_cell_length_c 8.217
_cell_angle_alpha 90.00
_cell_angle_beta 106.39
_cell_angle_gamma 90.00
loop_
_space_group_symop_operation_xyz
'x,y,z'
'x,-y,z'
'x+1/2,y+1/2,z'
'x+1/2,-y+1/2,z'
loop_
_atom_site_label
_atom_site_fract_x
_atom_site_fract_y
_atom_site_fract_z
Pm1 0.000 0.000 0.000
Sm1 0.297 0.500 0.392
Ru1 0.399 0.000 0.197
Br1 0.230 0.000 0.690
```

Results
The total energy comes out at -5.84 eV per atom. The calculation puts the density of states at the Fermi level at 5.4 states/eV/cell. For the volume, the calculation gives 111 Å³/f.u.

[4]
The following is a GGA-PBE calculation of a relaxed Pm3TeRuBr crystal, from the Alexandria database.

CIF file:
```
data_Pm3TeRuBr
_space_group_name_H-M_alt 'P 1 21/m 1'
_space_group_IT_number 11
_cell_length_a 8.207
_cell_length_b 4.286
_cell_length_c 10.041
_cell_angle_alpha 90.00
_cell_angle_beta 110.75
_cell_angle_gamma 90.00
loop_
_space_group_symop_operation_xyz
'x,y,z'
'-x,-y,-z'
'-x,y+1/2,-z'
'x,-y+1/2,z'
loop_
_atom_site_label
_atom_site_fract_x
_atom_site_fract_y
_atom_site_fract_z
Pm1 0.021 0.250 0.363
Pm2 0.181 0.250 0.977
Pm3 0.402 0.750 0.595
Te1 0.234 0.750 0.225
Ru1 0.231 0.250 0.663
Br1 0.369 0.750 0.881
```

Results
The total energy comes out at -5.52 eV per atom. The calculation puts the density of states at the Fermi level at 5.9 states/eV/cell. For the volume, the calculation gives 165 Å³/f.u.

[5]
The following is a GGA-PBE calculation of a relaxed Pm4Te2RuBr crystal, from the Alexandria database.

CIF file:
```
data_Pm4Te2RuBr
_space_group_name_H-M_alt 'P 1 2/m 1'
_space_group_IT_number 10
_cell_length_a 7.663
_cell_length_b 4.226
_cell_length_c 7.710
_cell_angle_alpha 90.00
_cell_angle_beta 107.06
_cell_angle_gamma 90.00
loop_
_space_group_symop_operation_xyz
'x,y,z'
'-x,-y,-z'
'-x,y,-z'
'x,-y,z'
loop_
_atom_site_label
_atom_site_fract_x
_atom_site_fract_y
_atom_site_fract_z
Pm1 0.212 0.000 0.212
Pm2 0.222 0.500 0.771
Te1 0.000 0.000 0.500
Te2 0.500 0.500 0.500
Ru1 0.000 0.500 0.000
Br1 0.500 0.000 0.000
```

Results
The total energy comes out at -5.57 eV per atom. The calculation puts the density of states at the Fermi level at 6.2 states/eV/cell. For the volume, the calculation gives 239 Å³/f.u.

[6]
The following is a GGA-PBE calculation of a relaxed PmThRuBr crystal, from the Alexandria database.

CIF file:
```
data_PmThRuBr
_space_group_name_H-M_alt 'R 3 m'
_space_group_IT_number 160
_space_group_name_Hall 'R 3 -2"'
_cell_length_a 4.0786
_cell_length_b 4.0786
_cell_length_c 23.9796
_cell_angle_alpha 90.00
_cell_angle_beta 90.00
_cell_angle_gamma 120.00
loop_
_atom_site_label
_atom_site_fract_x
_atom_site_fract_y
_atom_site_fract_z
Pm1 0.0000 0.0000 0.0000
Th1 0.0000 0.0000 0.7934
Ru1 0.0000 0.0000 0.4034
Br1 0.0000 0.0000 0.2334
```

Results
The total energy comes out at -6.63 eV per atom. The calculation puts the density of states at the Fermi level at 2.2 states/eV/cell. For the volume, the calculation gives 115 Å³/f.u.

[7]
The following is a GGA-PBE calculation of a relaxed Pm4S3Br crystal, from the Alexandria database.

CIF file:
```
data_Pm4S3Br
_space_group_name_H-M_alt 'P 63/m m c'
_space_group_IT_number 194
_space_group_name_Hall '-P 6c 2c'
_cell_length_a 4.0181
_cell_length_b 4.0181
_cell_length_c 27.9186
_cell_angle_alpha 90.00
_cell_angle_beta 90.00
_cell_angle_gamma 120.00
loop_
_atom_site_label
_atom_site_fract_x
_atom_site_fract_y
_atom_site_fract_z
Pm1 0.0000 0.0000 0.1717
Pm2 0.3333 0.6667 0.0618
S1 0.0000 0.0000 0.0000
S2 0.3333 0.6667 0.6181
Br1 0.3333 0.6667 0.2500
```

Results
The total energy comes out at -5.95 eV per atom. The calculation puts the density of states at the Fermi level at 6.5 states/eV/cell. For the volume, the calculation gives 195 Å³/f.u.

[8]
The following is a GGA-PBE calculation of a relaxed Pm4S4Br3 crystal, from the Alexandria database.

CIF file:
```
data_Pm4S4Br3
_space_group_name_H-M_alt 'I m m m'
_space_group_IT_number 71
_space_group_name_Hall '-I 2 2'
_cell_length_a 4.172
_cell_length_b 8.222
_cell_length_c 16.082
_cell_angle_alpha 90.00
_cell_angle_beta 90.00
_cell_angle_gamma 90.00
loop_
_atom_site_label
_atom_site_fract_x
_atom_site_fract_y
_atom_site_fract_z
Pm1 0.000 0.000 0.233
Pm2 0.000 0.223 0.500
S1 0.000 0.299 0.332
Br1 0.000 0.000 0.000
Br2 0.000 0.500 0.096
```

Results
The total energy comes out at -5.48 eV per atom. The calculation puts the density of states at the Fermi level at 2.5 states/eV/cell. For the volume, the calculation gives 276 Å³/f.u.

[9]
The following is a GGA-PBE calculation of a relaxed Pm3SBr3 crystal, from the Alexandria database.

CIF file:
```
data_Pm3SBr3
_space_group_name_H-M_alt 'R -3'
_space_group_IT_number 148
_space_group_name_Hall '-R 3'
_cell_length_a 7.0181
_cell_length_b 7.0181
_cell_length_c 31.9621
_cell_angle_alpha 90.00
_cell_angle_beta 90.00
_cell_angle_gamma 120.00
loop_
_atom_site_label
_atom_site_fract_x
_atom_site_fract_y
_atom_site_fract_z
Pm1 0.0000 0.3421 0.4522
S1 0.0000 0.0000 0.1667
Br1 0.0000 0.3291 0.6064
```

Results
The total energy comes out at -5.04 eV per atom. The calculation puts the density of states at the Fermi level at 12.6 states/eV/cell. For the volume, the calculation gives 227 Å³/f.u.

[10]
The following is a GGA-PBE calculation of a relaxed PmS5Br crystal, from the Alexandria database.

CIF file:
```
data_PmS5Br
_space_group_name_H-M_alt 'P 1'
_space_group_IT_number 1
_cell_length_a 4.335
_cell_length_b 4.590
_cell_length_c 11.609
_cell_angle_alpha 88.87
_cell_angle_beta 80.45
_cell_angle_gamma 89.74
loop_
_space_group_symop_operation_xyz
'x,y,z'
loop_
_atom_site_label
_atom_site_fract_x
_atom_site_fract_y
_atom_site_fract_z
Pm1 0.000 0.000 0.000
S1 0.438 0.838 0.142
S2 0.459 0.291 0.089
S3 0.553 0.955 0.551
S4 0.608 0.291 0.424
S5 0.860 0.622 0.487
Br1 0.070 0.520 0.839
```

Results
The total energy comes out at -4.57 eV per atom. The calculation puts the density of states at the Fermi level at 0.0 states/eV/cell. For the volume, the calculation gives 228 Å³/f.u.

[11]
The following is a GGA-PBE calculation of a relaxed PmSBr3 crystal, from the Alexandria database.

CIF file:
```
data_PmSBr3
_space_group_name_H-M_alt 'P -1'
_space_group_IT_number 2
_cell_length_a 3.942
_cell_length_b 8.543
_cell_length_c 10.992
_cell_angle_alpha 79.47
_cell_angle_beta 88.14
_cell_angle_gamma 90.00
loop_
_space_group_symop_operation_xyz
'x,y,z'
'-x,-y,-z'
loop_
_atom_site_label
_atom_site_fract_x
_atom_site_fract_y
_atom_site_fract_z
Pm1 0.241 0.229 0.094
S1 0.205 0.439 0.492
Br1 0.242 0.839 0.088
Br2 0.263 0.525 0.863
Br3 0.275 0.923 0.727
```

Results
The total energy comes out at -4.19 eV per atom. The calculation puts the density of states at the Fermi level at 1.2 states/eV/cell. For the volume, the calculation gives 182 Å³/f.u.

[12]
The following is a GGA-PBE calculation of a relaxed PmS2Br2 crystal, from the Alexandria database.

CIF file:
```
data_PmS2Br2
_space_group_name_H-M_alt 'C 1 2/m 1'
_space_group_IT_number 12
_cell_length_a 7.666
_cell_length_b 13.874
_cell_length_c 7.967
_cell_angle_alpha 90.00
_cell_angle_beta 105.70
_cell_angle_gamma 90.00
loop_
_space_group_symop_operation_xyz
'x,y,z'
'-x,-y,-z'
'-x,y,-z'
'x,-y,z'
'x+1/2,y+1/2,z'
'-x+1/2,-y+1/2,-z'
'-x+1/2,y+1/2,-z'
'x+1/2,-y+1/2,z'
loop_
_atom_site_label
_atom_site_fract_x
_atom_site_fract_y
_atom_site_fract_z
Pm1 0.000 0.171 0.000
S1 0.085 0.000 0.223
S2 0.232 0.000 0.052
Br1 0.208 0.230 0.757
```

Results
The total energy comes out at -4.60 eV per atom. For the volume, the calculation gives 204 Å³/f.u.